Run P
First-principles (PBE) data for LaCCl2 after structural relaxation, as listed in the Alexandria database.

```
LaCCl2
1.0
2.105 1.215 8.018
-2.105 1.215 8.018
0.000 -2.431 8.018
La C Cl
1 1 2
Cartesian
0.000 0.000 0.000 La
0.000 0.000 12.026 C
0.000 0.000 9.597 Cl
0.000 0.000 14.456 Cl
```

Calculated values
Total magnetization = 2.92 μB per formula unit
Space group = No. 166



Run Q
First-principles (PBE) data for LaCCl2 after structural relaxation, as listed in the Alexandria database.

```
LaCCl2
1.0
-2.176 2.176 9.412
2.176 -2.176 9.412
2.176 2.176 -9.412
La C Cl
2 2 4
Cartesian
0.000 0.000 0.000 La
0.000 2.176 4.706 La
2.176 0.000 4.706 C
0.000 0.000 9.412 C
1.088 -1.053 7.059 Cl
1.122 1.088 2.353 Cl
1.088 3.229 -2.353 Cl
1.053 1.088 11.765 Cl
```

Calculated values
Total magnetization = 1.00 μB per formula unit
Space group = No. 122



Run R
First-principles (PBE) data for LaCCl2 after structural relaxation, as listed in the Alexandria database.

```
LaCCl2
1.0
0.000 3.476 3.476
3.476 0.000 3.476
3.476 3.476 0.000
La C Cl
1 1 2
Cartesian
0.000 0.000 0.000 La
3.476 3.476 3.476 C
1.738 1.738 1.738 Cl
5.214 5.214 5.214 Cl
```

Calculated values
Total magnetization = 3.00 μB per formula unit
Space group = No. 225



Quick one: most stable of them? run R



Run P
First-principles (PBE) data for La3CCl after structural relaxation, as listed in the Alexandria database.

```
La3CCl
1.0
5.211 0.000 0.000
0.000 5.211 0.000
0.000 0.000 5.211
La C Cl
3 1 1
Cartesian
0.000 0.000 2.605 La
0.000 2.605 0.000 La
2.605 0.000 0.000 La
0.000 0.000 0.000 C
2.605 2.605 2.605 Cl
```

Calculated values
Total magnetization = 0.01 μB per formula unit
Space group = No. 221



Run Q
First-principles (PBE) data for La3CCl after structural relaxation, as listed in the Alexandria database.

```
La3CCl
1.0
7.946 -5.270 0.000
7.946 5.270 0.000
-2.505 0.000 6.779
La C Cl
12 4 4
Cartesian
4.157 3.295 2.469 La
4.062 3.832 5.928 La
8.072 3.832 4.241 La
5.160 0.361 0.748 La
10.482 3.295 0.921 La
3.907 -0.361 4.137 La
9.479 0.361 2.642 La
2.905 -3.295 5.858 La
8.227 -0.361 6.031 La
5.315 -3.832 2.538 La
9.324 -3.832 0.851 La
9.229 -3.295 4.311 La
3.233 1.021 2.276 C
1.981 -1.021 5.666 C
11.405 1.021 1.114 C
10.153 -1.021 4.503 C
7.319 2.271 1.695 Cl
6.067 1.595 5.084 Cl
7.319 -1.595 1.695 Cl
6.067 -2.271 5.084 Cl
```

Calculated values
Total magnetization = 0.00 μB per formula unit
Space group = No. 15



Quick one: most stable of them? run Q



Run P
First-principles (PBE) data for La2OsCCl after structural relaxation, as listed in the Alexandria database.

```
La2OsCCl
1.0
5.398 0.000 0.000
0.000 5.398 0.000
0.000 0.000 3.704
La Os C Cl
2 1 1 1
Cartesian
0.000 2.699 0.000 La
2.699 0.000 0.000 La
0.000 0.000 1.852 Os
2.699 2.699 1.852 C
2.699 2.699 0.000 Cl
```

Calculated values
Total magnetization = 0.00 μB per formula unit
Space group = No. 123



Run Q
First-principles (PBE) data for La2OsCCl after structural relaxation, as listed in the Alexandria database.

```
La2OsCCl
1.0
5.364 0.000 0.000
0.000 5.364 0.000
0.000 0.000 3.872
La Os C Cl
2 1 1 1
Cartesian
0.000 2.682 0.000 La
2.682 0.000 0.000 La
0.000 0.000 1.936 Os
0.000 0.000 0.000 C
2.682 2.682 1.936 Cl
```

Calculated values
Total magnetization = 0.00 μB per formula unit
Space group = No. 123



Quick one: most stable of them? run Q